[1]
## NaSiTeI2 (PBE)

Data for a relaxed structure of NaSiTeI2.

abc: 5.7269 5.7269 5.4023
angles: 90.00 90.00 90.00
Closest atoms and distances in Å follow each position.
Atoms (fractional coordinates):
Na 0.0000 0.0000 0.0000  8 I 3.94, 4 Te 4.05
Si 0.5000 0.5000 0.5000  2 Te 2.70, 4 I 2.86
Te 0.5000 0.5000 0.0000  2 Si 2.70
I 0.0000 0.5000 0.5000  2 Si 2.86
I 0.5000 0.0000 0.5000  2 Si 2.86

Calculated values
Energy relative to the elements, uncorrected   -195.7 meV per atom
Distance to the lowest polymorph of the same formula   0 meV/atom
Spin magnetization   0.00 μB per cell
Space-group type   P4/mmm, No. 123
D(E_F)   4.45 states/eV per cell

[2]
## NaSi2TeI (PBE)

Data for a relaxed structure of NaSi2TeI.

abc: 5.4787 5.4787 5.2386
angles: 90.00 90.00 90.00
Closest atoms and distances in Å follow each position.
Atoms (fractional coordinates):
Na 0.0000 0.0000 0.0000  2 Te 2.62, 4 Si 2.74
Si 0.0000 0.5000 0.0000  2 Na 2.74
Si 0.5000 0.0000 0.0000  2 Na 2.74
Te 0.0000 0.0000 0.5000  2 Na 2.62
I 0.5000 0.5000 0.5000  8 Si 3.79, 4 Te 3.87

Calculated values
Energy relative to the elements, uncorrected   1154.3 meV per atom
Spin magnetization   0.00 μB per cell
Space-group type   P4/mmm, No. 123
D(E_F)   7.92 states/eV per cell

[3]
## Na5Sm3I12 (PBE)

Data for a relaxed structure of Na5Sm3I12.

abc: 16.0276 16.0276 16.0276
angles: 109.47 109.47 109.47
Closest atoms and distances in Å follow each position.
Atoms (fractional coordinates):
Na 0.0000 0.0000 0.0000  6 I 3.16
Na 0.0000 0.0000 0.5000  6 I 3.16
Na 0.0000 0.5000 0.0000  6 I 3.16
Na 0.0000 0.5000 0.5000  6 I 3.16
Na 0.1250 0.7500 0.8750  4 I 2.94
Na 0.1250 0.8750 0.2500  4 I 2.94
Na 0.2500 0.1250 0.8750  4 I 2.94
Na 0.2500 0.6250 0.3750  4 I 2.94
Na 0.3750 0.2500 0.6250  4 I 2.94
Na 0.3750 0.6250 0.7500  4 I 2.94
Na 0.5000 0.0000 0.0000  6 I 3.16
Na 0.5000 0.0000 0.5000  6 I 3.16
Na 0.5000 0.5000 0.0000  6 I 3.16
Na 0.5000 0.5000 0.5000  6 I 3.16
Na 0.6250 0.3750 0.2500  4 I 2.94
Na 0.6250 0.7500 0.3750  4 I 2.94
Na 0.7500 0.3750 0.6250  4 I 2.94
Na 0.7500 0.8750 0.1250  4 I 2.94
Na 0.8750 0.1250 0.7500  4 I 2.94
Na 0.8750 0.2500 0.1250  4 I 2.94
Sm 0.1250 0.2500 0.3750  8 I 3.36-3.52
Sm 0.1250 0.3750 0.7500  8 I 3.36-3.52
Sm 0.2500 0.3750 0.1250  8 I 3.36-3.52
Sm 0.2500 0.8750 0.6250  8 I 3.36-3.52
Sm 0.3750 0.1250 0.2500  8 I 3.36-3.52
Sm 0.3750 0.7500 0.1250  8 I 3.36-3.52
Sm 0.6250 0.2500 0.8750  8 I 3.36-3.52
Sm 0.6250 0.8750 0.7500  8 I 3.36-3.52
Sm 0.7500 0.1250 0.3750  8 I 3.36-3.52
Sm 0.7500 0.6250 0.8750  8 I 3.36-3.52
Sm 0.8750 0.6250 0.2500  8 I 3.36-3.52
Sm 0.8750 0.7500 0.6250  8 I 3.36-3.52
I 0.0501 0.2251 0.1313  2 Na 2.94-3.16
I 0.0501 0.3251 0.9188  2 Na 2.94-3.16
I 0.0812 0.6313 0.4063  2 Na 2.94-3.16
I 0.0812 0.9499 0.6749  2 Na 2.94-3.16
I 0.0937 0.7251 0.6749  2 Na 2.94-3.16
I 0.0937 0.8687 0.4188  2 Na 2.94-3.16
I 0.1313 0.0501 0.2251  2 Na 2.94-3.16
I 0.1313 0.5812 0.9063  2 Na 2.94-3.16
I 0.1749 0.2251 0.5937  2 Na 2.94-3.16
I 0.1749 0.4499 0.5812  2 Na 2.94-3.16
I 0.2251 0.1313 0.0501  2 Na 2.94-3.16
I 0.2251 0.5937 0.1749  2 Na 2.94-3.16
I 0.2749 0.3251 0.9063  2 Na 2.94-3.16
I 0.2749 0.4499 0.3687  2 Na 2.94-3.16
I 0.3251 0.9063 0.2749  2 Na 2.94-3.16
I 0.3251 0.9188 0.0501  2 Na 2.94-3.16
I 0.3687 0.2749 0.4499  2 Na 2.94-3.16
I 0.3687 0.5937 0.9188  2 Na 2.94-3.16
I 0.4063 0.0812 0.6313  2 Na 2.94-3.16
I 0.4063 0.8251 0.7749  2 Na 2.94-3.16
I 0.4188 0.0937 0.8687  2 Na 2.94-3.16
I 0.4188 0.8251 0.5501  2 Na 2.94-3.16
I 0.4499 0.3687 0.2749  2 Na 2.94-3.16
I 0.4499 0.5812 0.1749  2 Na 2.94-3.16
I 0.5501 0.4188 0.8251  2 Na 2.94-3.16
I 0.5501 0.6313 0.7251  2 Na 2.94-3.16
I 0.5812 0.1749 0.4499  2 Na 2.94-3.16
I 0.5812 0.9063 0.1313  2 Na 2.94-3.16
I 0.5937 0.1749 0.2251  2 Na 2.94-3.16
I 0.5937 0.9188 0.3687  2 Na 2.94-3.16
I 0.6313 0.4063 0.0812  2 Na 2.94-3.16
I 0.6313 0.7251 0.5501  2 Na 2.94-3.16
I 0.6749 0.0812 0.9499  2 Na 2.94-3.16
I 0.6749 0.0937 0.7251  2 Na 2.94-3.16
I 0.7251 0.5501 0.6313  2 Na 2.94-3.16
I 0.7251 0.6749 0.0937  2 Na 2.94-3.16
I 0.7749 0.4063 0.8251  2 Na 2.94-3.16
I 0.7749 0.8687 0.9499  2 Na 2.94-3.16
I 0.8251 0.5501 0.4188  2 Na 2.94-3.16
I 0.8251 0.7749 0.4063  2 Na 2.94-3.16
I 0.8687 0.4188 0.0937  2 Na 2.94-3.16
I 0.8687 0.9499 0.7749  2 Na 2.94-3.16
I 0.9063 0.1313 0.5812  2 Na 2.94-3.16
I 0.9063 0.2749 0.3251  2 Na 2.94-3.16
I 0.9188 0.0501 0.3251  2 Na 2.94-3.16
I 0.9188 0.3687 0.5937  2 Na 2.94-3.16
I 0.9499 0.6749 0.0812  2 Na 2.94-3.16
I 0.9499 0.7749 0.8687  2 Na 2.94-3.16

Calculated values
Energy relative to the elements, uncorrected   -1091.2 meV per atom
Spin magnetization   8.14 μB per cell
Space-group type   Ia-3d, No. 230
D(E_F)   44.74 states/eV per cell

[4]
## Na2SmI5 (PBE)

Data for a relaxed structure of Na2SmI5.

abc: 8.8054 8.8128 9.4458
angles: 117.76 117.60 90.01
Closest atoms and distances in Å follow each position.
Atoms (fractional coordinates):
Na 0.0000 0.0000 0.0000  4 I 3.14
Na 0.4986 0.4999 0.0000  4 I 3.14
Sm 0.4192 0.9184 0.8368  5 I 2.90-3.08
I 0.2222 0.7146 0.4293  1 Sm 2.90
I 0.2330 0.2113 0.9449  1 Sm 3.08, 2 Na 3.14
I 0.2329 0.7335 0.9449  1 Sm 3.08, 2 Na 3.14
I 0.7150 0.2158 0.9545  1 Sm 3.08, 2 Na 3.14
I 0.7151 0.7387 0.9545  1 Sm 3.08, 2 Na 3.14

Calculated values
Energy relative to the elements, uncorrected   -1237.3 meV per atom
Distance to the lowest polymorph of the same formula   45 meV/atom
Spin magnetization   0.00 μB per cell
Space-group type   P1, No. 1
D(E_F)   0.00 states/eV per cell

[5]
## NaSmI3 (PBE)

Data for a relaxed structure of NaSmI3.

abc: 8.5837 8.5837 7.0902
angles: 90.00 90.00 59.94
Closest atoms and distances in Å follow each position.
Atoms (fractional coordinates):
Na 0.1667 0.1667 0.2503  12 I 4.26-4.29
Na 0.8333 0.8333 0.7497  12 I 4.26-4.29
Sm 0.5000 0.5000 0.0000  6 I 3.14
Sm 0.5000 0.5000 0.5000  6 I 3.14
I 0.1515 0.6742 0.2500  2 Sm 3.14
I 0.3259 0.3259 0.7499  2 Sm 3.14
I 0.3258 0.8485 0.7500  2 Sm 3.14
I 0.6742 0.1515 0.2500  2 Sm 3.14
I 0.6741 0.6741 0.2501  2 Sm 3.14
I 0.8485 0.3258 0.7500  2 Sm 3.14

Calculated values
Energy relative to the elements, uncorrected   -1092.3 meV per atom
Spin magnetization   0.00 μB per cell
Space-group type   C2/m, No. 12
D(E_F)   4.41 states/eV per cell

[6]
## Na3SmI6 (PBE)

Data for a relaxed structure of Na3SmI6.

abc: 7.8615 8.4318 14.2480
angles: 90.00 123.38 90.00
Closest atoms and distances in Å follow each position.
Atoms (fractional coordinates):
Na 0.0000 0.0000 0.0000  6 I 3.16-3.36
Na 0.0000 0.5000 0.5000  6 I 3.16-3.36
Na 0.2001 0.0990 0.7417  6 I 3.26-3.63
Na 0.2001 0.4010 0.2417  6 I 3.26-3.63
Na 0.7999 0.5990 0.7583  6 I 3.26-3.63
Na 0.7999 0.9010 0.2583  6 I 3.26-3.63
Sm 0.5000 0.0000 0.5000  6 I 3.08-3.12
Sm 0.5000 0.5000 0.0000  6 I 3.08-3.12
I 0.1054 0.1801 0.4272  1 Sm 3.08, 2 Na 3.16-3.28
I 0.1054 0.3199 0.9272  1 Sm 3.08, 2 Na 3.16-3.28
I 0.2526 0.6869 0.4208  1 Sm 3.10, 2 Na 3.19-3.37
I 0.2526 0.8131 0.9208  1 Sm 3.10, 2 Na 3.19-3.37
I 0.4105 0.0587 0.2607  1 Sm 3.12, 3 Na 3.26-3.36
I 0.4105 0.4413 0.7607  1 Sm 3.12, 3 Na 3.26-3.36
I 0.5895 0.5587 0.2393  1 Sm 3.12, 3 Na 3.26-3.36
I 0.5895 0.9413 0.7393  1 Sm 3.12, 3 Na 3.26-3.36
I 0.7474 0.1869 0.0792  1 Sm 3.10, 2 Na 3.19-3.37
I 0.7474 0.3131 0.5792  1 Sm 3.10, 2 Na 3.19-3.37
I 0.8946 0.6801 0.0728  1 Sm 3.08, 2 Na 3.16-3.28
I 0.8946 0.8199 0.5728  1 Sm 3.08, 2 Na 3.16-3.28

Calculated values
Energy relative to the elements, uncorrected   -1292.4 meV per atom
Distance to the lowest polymorph of the same formula   5 meV/atom
Spin magnetization   0.00 μB per cell
Space-group type   P2_1/c, No. 14
D(E_F)   0.00 states/eV per cell

[7]
## Na3SmI6 (PBE)

Data for a relaxed structure of Na3SmI6.

abc: 9.4984 9.4984 9.4984
angles: 91.04 91.04 91.04
Closest atoms and distances in Å follow each position.
Atoms (fractional coordinates):
Na 0.0755 0.5832 0.7444  6 I 3.19-3.47
Na 0.2556 0.9245 0.4168  6 I 3.19-3.47
Na 0.4168 0.2556 0.9245  6 I 3.19-3.47
Na 0.5832 0.7444 0.0755  6 I 3.19-3.47
Na 0.7444 0.0755 0.5832  6 I 3.19-3.47
Na 0.9245 0.4168 0.2556  6 I 3.19-3.47
Sm 0.0000 0.0000 0.0000  6 I 3.09
Sm 0.5000 0.5000 0.5000  6 I 3.11
I 0.0510 0.9123 0.6903  1 Sm 3.09, 2 Na 3.19-3.28
I 0.0877 0.3097 0.9490  1 Sm 3.09, 2 Na 3.19-3.28
I 0.1948 0.5762 0.4115  1 Sm 3.11, 3 Na 3.27-3.38
I 0.3097 0.9490 0.0877  1 Sm 3.09, 2 Na 3.19-3.28
I 0.4115 0.1948 0.5762  1 Sm 3.11, 3 Na 3.27-3.38
I 0.4238 0.5885 0.8052  1 Sm 3.11, 3 Na 3.27-3.38
I 0.5762 0.4115 0.1948  1 Sm 3.11, 3 Na 3.27-3.38
I 0.5885 0.8052 0.4238  1 Sm 3.11, 3 Na 3.27-3.38
I 0.6903 0.0510 0.9123  1 Sm 3.09, 2 Na 3.19-3.28
I 0.8052 0.4238 0.5885  1 Sm 3.11, 3 Na 3.27-3.38
I 0.9123 0.6903 0.0510  1 Sm 3.09, 2 Na 3.19-3.28
I 0.9490 0.0877 0.3097  1 Sm 3.09, 2 Na 3.19-3.28

Calculated values
Energy relative to the elements, uncorrected   -1297.5 meV per atom
Distance to the lowest polymorph of the same formula   0 meV/atom
Spin magnetization   0.00 μB per cell
Space-group type   R-3, No. 148
D(E_F)   0.00 states/eV per cell

[8]
## Na2Sm2I7 (PBE)

Data for a relaxed structure of Na2Sm2I7.

abc: 8.2743 8.2743 7.8141
angles: 92.43 92.43 67.18
Closest atoms and distances in Å follow each position.
Atoms (fractional coordinates):
Na 0.2064 0.7936 0.0000  4 I 3.10-3.18
Na 0.7936 0.2064 0.0000  4 I 3.10-3.18
Sm 0.2662 0.2662 0.5295  6 I 3.07-3.24
Sm 0.7338 0.7338 0.4705  6 I 3.07-3.24
I 0.0307 0.5862 0.7574  2 Sm 3.14-3.16, 1 Na 3.18
I 0.0789 0.0789 0.7255  1 Sm 3.07, 2 Na 3.10
I 0.4138 0.9693 0.2426  2 Sm 3.14-3.16, 1 Na 3.18
I 0.5000 0.5000 0.5000  2 Sm 3.24
I 0.5862 0.0307 0.7574  2 Sm 3.14-3.16, 1 Na 3.18
I 0.9211 0.9211 0.2745  1 Sm 3.07, 2 Na 3.10
I 0.9693 0.4138 0.2426  2 Sm 3.14-3.16, 1 Na 3.18

Calculated values
Energy relative to the elements, uncorrected   -1177.5 meV per atom
Spin magnetization   0.00 μB per cell
Space-group type   C2/m, No. 12
D(E_F)   3.76 states/eV per cell

[9]
## Na5SmI8 (PBE)

Data for a relaxed structure of Na5SmI8.

abc: 8.7776 8.7782 8.7790
angles: 115.10 106.74 106.68
Closest atoms and distances in Å follow each position.
Atoms (fractional coordinates):
Na 0.0000 0.0000 0.0000  4 I 3.24-3.25
Na 0.0656 0.6128 0.1568  6 I 3.09-3.41
Na 0.4559 0.8427 0.9086  6 I 3.08-3.41
Na 0.5441 0.4525 0.3868  6 I 3.09-3.41
Na 0.9344 0.0914 0.5470  6 I 3.09-3.41
Sm 0.4998 0.2489 0.7493  4 I 3.12-3.13
I 0.1719 0.8694 0.6031  1 Sm 3.13, 3 Na 3.24-3.31
I 0.2588 0.3581 0.0123  4 Na 3.09-3.41
I 0.2670 0.3966 0.5689  1 Sm 3.12, 3 Na 3.24-3.31
I 0.3462 0.9873 0.2465  4 Na 3.09-3.41
I 0.6537 0.9003 0.6410  4 Na 3.09-3.41
I 0.7334 0.3019 0.1297  1 Sm 3.12, 3 Na 3.24-3.31
I 0.7418 0.7545 0.1002  4 Na 3.08-3.41
I 0.8277 0.4312 0.6977  1 Sm 3.13, 3 Na 3.23-3.31

Calculated values
Energy relative to the elements, uncorrected   -1251.8 meV per atom
Spin magnetization   0.00 μB per cell
Space-group type   P1, No. 1
D(E_F)   0.00 states/eV per cell

[10]
## Na2SmI5 (PBE)

Data for a relaxed structure of Na2SmI5.

abc: 13.9287 9.5308 9.1247
angles: 90.00 90.00 90.00
Closest atoms and distances in Å follow each position.
Atoms (fractional coordinates):
Na 0.1800 0.0158 0.0225  7 I 3.27-3.56
Na 0.1800 0.4842 0.0225  7 I 3.27-3.56
Na 0.3200 0.5158 0.5225  7 I 3.27-3.56
Na 0.3200 0.9842 0.5225  7 I 3.27-3.56
Na 0.6800 0.0158 0.4775  7 I 3.27-3.56
Na 0.6800 0.4842 0.4775  7 I 3.27-3.56
Na 0.8200 0.5158 0.9775  7 I 3.27-3.56
Na 0.8200 0.9842 0.9775  7 I 3.27-3.56
Sm 0.0060 0.7500 0.5853  7 I 3.12-3.24
Sm 0.4940 0.2500 0.0853  7 I 3.12-3.24
Sm 0.5060 0.7500 0.9147  7 I 3.12-3.24
Sm 0.9940 0.2500 0.4147  7 I 3.12-3.24
I 0.0085 0.7500 0.9405  1 Sm 3.24, 4 Na 3.46-3.56
I 0.0856 0.0469 0.6635  2 Sm 3.12-3.24
I 0.0856 0.4531 0.6635  2 Sm 3.12-3.24
I 0.1827 0.7500 0.3655  1 Sm 3.17, 2 Na 3.27
I 0.2112 0.2500 0.3212  1 Sm 3.14, 2 Na 3.48
I 0.2888 0.7500 0.8212  1 Sm 3.14, 2 Na 3.48
I 0.3173 0.2500 0.8655  1 Sm 3.17, 2 Na 3.27
I 0.4144 0.5469 0.1635  2 Sm 3.12-3.24
I 0.4144 0.9531 0.1635  2 Sm 3.12-3.24
I 0.4915 0.2500 0.4405  1 Sm 3.24, 4 Na 3.46-3.56
I 0.5085 0.7500 0.5595  1 Sm 3.24, 4 Na 3.46-3.56
I 0.5856 0.0469 0.8365  2 Sm 3.12-3.24
I 0.5856 0.4531 0.8365  2 Sm 3.12-3.24
I 0.6827 0.7500 0.1345  1 Sm 3.17, 2 Na 3.27
I 0.7112 0.2500 0.1788  1 Sm 3.14, 2 Na 3.48
I 0.7888 0.7500 0.6788  1 Sm 3.14, 2 Na 3.48
I 0.8173 0.2500 0.6345  1 Sm 3.17, 2 Na 3.27
I 0.9144 0.5469 0.3365  2 Sm 3.12-3.24
I 0.9144 0.9531 0.3365  2 Sm 3.12-3.24
I 0.9915 0.2500 0.0595  1 Sm 3.24, 4 Na 3.46-3.56

Calculated values
Energy relative to the elements, uncorrected   -1282.1 meV per atom
Distance to the lowest polymorph of the same formula   0 meV/atom
Spin magnetization   0.00 μB per cell
Space-group type   Pnma, No. 62
D(E_F)   0.00 states/eV per cell

[11]
## NaSmSnI6 (PBE)

Data for a relaxed structure of NaSmSnI6.

abc: 7.9099 7.9099 14.1702
angles: 90.00 90.00 120.00
Closest atoms and distances in Å follow each position.
Atoms (fractional coordinates):
Na 0.3333 0.6667 0.2500  6 I 3.22
Na 0.6667 0.3333 0.7500  6 I 3.22
Sm 0.3333 0.6667 0.7500  6 I 3.10
Sm 0.6667 0.3333 0.2500  6 I 3.10
Sn 0.0000 0.0000 0.0000  6 I 3.22
Sn 0.0000 0.0000 0.5000  6 I 3.22
I 0.0115 0.3464 0.6240  1 Sm 3.10, 1 Sn 3.22, 1 Na 3.22
I 0.0115 0.6651 0.8760  1 Sm 3.10, 1 Sn 3.22, 1 Na 3.22
I 0.3349 0.3464 0.8760  1 Sm 3.10, 1 Sn 3.22, 1 Na 3.22
I 0.3349 0.9885 0.6240  1 Sm 3.10, 1 Sn 3.22, 1 Na 3.22
I 0.3464 0.0115 0.1240  1 Sm 3.10, 1 Sn 3.22, 1 Na 3.22
I 0.3464 0.3349 0.3760  1 Sm 3.10, 1 Sn 3.22, 1 Na 3.22
I 0.6536 0.6651 0.6240  1 Sm 3.10, 1 Sn 3.22, 1 Na 3.22
I 0.6536 0.9885 0.8760  1 Sm 3.10, 1 Sn 3.22, 1 Na 3.22
I 0.6651 0.0115 0.3760  1 Sm 3.10, 1 Sn 3.22, 1 Na 3.22
I 0.6651 0.6536 0.1240  1 Sm 3.10, 1 Sn 3.22, 1 Na 3.22
I 0.9885 0.3349 0.1240  1 Sm 3.10, 1 Sn 3.22, 1 Na 3.22
I 0.9885 0.6536 0.3760  1 Sm 3.10, 1 Sn 3.22, 1 Na 3.22

Calculated values
Energy relative to the elements, uncorrected   -1035.2 meV per atom
Spin magnetization   0.00 μB per cell
Space-group type   P-31c, No. 163
D(E_F)   0.00 states/eV per cell

[12]
## NaSmSn2I8 (PBE)

Data for a relaxed structure of NaSmSn2I8.

abc: 7.2721 9.2997 7.7723
angles: 90.00 91.12 90.00
Closest atoms and distances in Å follow each position.
Atoms (fractional coordinates):
Na 0.0000 0.0000 0.0000  6 I 3.20-3.35
Sm 0.0000 0.5000 0.0000  6 I 3.10-3.12
Sn 0.5000 0.2443 0.5000  6 I 3.09-3.33
Sn 0.5000 0.7557 0.5000  6 I 3.09-3.33
I 0.2390 0.5000 0.6709  1 Sm 3.12, 2 Sn 3.33
I 0.2441 0.2571 0.1548  1 Sm 3.10, 1 Na 3.20, 1 Sn 3.24
I 0.2441 0.7429 0.1548  1 Sm 3.10, 1 Na 3.20, 1 Sn 3.24
I 0.2641 0.0000 0.6516  2 Sn 3.09, 1 Na 3.35
I 0.7359 0.0000 0.3484  2 Sn 3.09, 1 Na 3.35
I 0.7559 0.2571 0.8452  1 Sm 3.10, 1 Na 3.20, 1 Sn 3.24
I 0.7559 0.7429 0.8452  1 Sm 3.10, 1 Na 3.20, 1 Sn 3.24
I 0.7610 0.5000 0.3291  1 Sm 3.12, 2 Sn 3.33

Calculated values
Energy relative to the elements, uncorrected   -897.1 meV per atom
Spin magnetization   0.00 μB per cell
Space-group type   P2/m, No. 10
D(E_F)   0.00 states/eV per cell

Which formula does entry 4 have? Na2SmI5

What is the formula in the fifth record? NaSmI3